VASP calculation (GGA-PBE) on an optimized crystal structure of Ta2CoBr.

Cell lengths 3.3842, 4.9572, 8.5624 Å; angles 90.00, 90.00, 90.00 degrees
Space group Cmm2 (No. 35)
One atom of each set of equivalent atoms:
1 Ta 0.0000 0.0000 0.0000 [2 per cell]
2 Ta 0.0000 0.5000 0.2662 [2 per cell]
3 Co 0.0000 0.5000 0.7942 [2 per cell]
4 Br 0.0000 0.0000 0.5145 [2 per cell]

Density of states at the Fermi level = 8.920 states/eV/cell
Density = 11.6 g cm⁻³
Relative energy among the computed polymorphs = 254.9 meV/atom
VASP energy = -62.2 eV/cell
Formation energy (no corrections) = 0.34 eV per atom



VASP calculation (GGA-PBE) on an optimized crystal structure of Be2Co.

Cell lengths 6.3554, 6.3554, 2.2932 Å; angles 90.00, 90.00, 120.00 degrees
Space group P-62m (No. 189)
One atom of each set of equivalent atoms:
1 Be 0.0000 0.3095 0.0000 [3 per cell]
2 Be 0.0000 0.6404 0.5000 [3 per cell]
3 Co 0.0000 0.0000 0.5000 [1 per cell]
4 Co 0.3333 0.6667 0.0000 [2 per cell]

Density of states at the Fermi level = 3.142 states/eV/cell
Density = 4.8 g cm⁻³
VASP energy = -44.6 eV/cell



VASP calculation (GGA-PBE) on an optimized crystal structure of Sr5PuBi5.

Cell lengths 15.5814, 6.6516, 9.5218 Å; angles 90.00, 108.40, 90.00 degrees
Space group C2/m (No. 12)
One atom of each set of equivalent atoms:
1 Sr 0.0000 0.0000 0.0000 [2 per cell]
2 Sr 0.1782 0.5000 0.3536 [4 per cell]
3 Sr 0.1886 0.5000 0.8247 [4 per cell]
4 Pu 0.0000 0.0000 0.5000 [2 per cell]
5 Bi 0.0000 0.5000 0.5000 [2 per cell]
6 Bi 0.1461 0.0000 0.3330 [4 per cell]
7 Bi 0.1564 0.0000 0.8207 [4 per cell]

Density of states at the Fermi level = 32.098 states/eV/cell
Density = 6.1 g cm⁻³
VASP energy = -98.4 eV/cell



VASP calculation (GGA-PBE) on an optimized crystal structure of SrLiHg2Bi.

Cell lengths 5.0959, 5.0959, 5.4786 Å; angles 90.00, 90.00, 90.00 degrees
Space group P4/mmm (No. 123)
One atom of each set of equivalent atoms:
1 Sr 0.0000 0.0000 0.0000 [1 per cell]
2 Li 0.5000 0.5000 0.5000 [1 per cell]
3 Hg 0.0000 0.5000 0.5000 [2 per cell]
4 Bi 0.5000 0.5000 0.0000 [1 per cell]

Density of states at the Fermi level = 2.399 states/eV/cell
Density = 8.2 g cm⁻³
VASP energy = -10.0 eV/cell



VASP calculation (GGA-PBE) on an optimized crystal structure of Na2HfSe.

Cell lengths 9.1334, 9.1334, 5.2465 Å; angles 90.00, 90.00, 90.00 degrees
Space group I-42d (No. 122)
One atom of each set of equivalent atoms:
1 Na 0.1806 0.7500 0.1250 [8 per cell]
2 Hf 0.0000 0.0000 0.5000 [4 per cell]
3 Se 0.0000 0.0000 0.0000 [4 per cell]

Density of states at the Fermi level = 9.437 states/eV/cell
Density = 4.6 g cm⁻³
VASP energy = -63.1 eV/cell
Formation energy (no corrections) = 0.08 eV per atom



VASP calculation (GGA-PBE) on an optimized crystal structure of Sm8SnBi5.

Cell lengths 9.5574, 9.5574, 9.5797 Å; angles 90.00, 90.00, 90.00 degrees
Space group I-4 (No. 82)
One atom of each set of equivalent atoms:
1 Sm 0.0704 0.3242 0.4509 [8 per cell]
2 Sm 0.0718 0.1831 0.8033 [8 per cell]
3 Sn 0.0000 0.5000 0.7500 [2 per cell]
4 Bi 0.0000 0.0000 0.5000 [2 per cell]
5 Bi 0.1234 0.2491 0.1274 [8 per cell]

Density of states at the Fermi level = 32.417 states/eV/cell
Density = 9.0 g cm⁻³
VASP energy = -144.7 eV/cell



VASP calculation (GGA-PBE) on an optimized crystal structure of LaCe4Pu3S8.

Cell lengths 8.0224, 8.0224, 19.7235 Å; angles 90.00, 90.00, 120.00 degrees
Space group R-3m (No. 166, hexagonal axes)
One atom of each set of equivalent atoms:
1 La 0.0000 0.0000 0.0000 [3 per cell]
2 Ce 0.0000 0.0000 0.5000 [3 per cell]
3 Ce 0.0000 0.5000 0.5000 [9 per cell]
4 Pu 0.0000 0.5000 0.0000 [9 per cell]
5 S 0.0000 0.0000 0.2529 [6 per cell]
6 S 0.0077 0.5039 0.2507 [18 per cell]

Density of states at the Fermi level = 117.227 states/eV/cell
Density = 7.6 g cm⁻³
VASP energy = -407.4 eV/cell
Formation energy (no corrections) = -1.95 eV per atom



VASP calculation (GGA-PBE) on an optimized crystal structure of LuTaAl2.

Cell lengths 3.0558, 3.0558, 29.2642 Å; angles 90.00, 90.00, 120.00 degrees
Space group R-3m (No. 166, hexagonal axes)
One atom of each set of equivalent atoms:
1 Lu 0.0000 0.0000 0.0000 [3 per cell]
2 Ta 0.0000 0.0000 0.5000 [3 per cell]
3 Al 0.0000 0.0000 0.2436 [6 per cell]

Density of states at the Fermi level = 10.240 states/eV/cell
Density = 8.6 g cm⁻³
Relative energy among the computed polymorphs = 162.1 meV/atom
VASP energy = -71.7 eV/cell



VASP calculation (GGA-PBE) on an optimized crystal structure of Sm3HoIn3.

Cell lengths 9.4913, 9.4913, 5.2129 Å; angles 90.00, 90.00, 120.00 degrees
Space group P6_3/m (No. 176)
One atom of each set of equivalent atoms:
1 Sm 0.0023 0.7646 0.2500 [6 per cell]
2 Ho 0.3333 0.6667 0.2500 [2 per cell]
3 In 0.0718 0.6146 0.7500 [6 per cell]

Density of states at the Fermi level = 11.702 states/eV/cell
Density = 7.8 g cm⁻³
Relative energy among the computed polymorphs = 13.3 meV/atom
VASP energy = -58.3 eV/cell



VASP calculation (GGA-PBE) on an optimized crystal structure of PmHo2HgN.

Cell lengths 4.7820, 4.7820, 4.9672 Å; angles 90.00, 90.00, 90.00 degrees
Space group P4/mmm (No. 123)
One atom of each set of equivalent atoms:
1 Pm 0.0000 0.0000 0.0000 [1 per cell]
2 Ho 0.0000 0.5000 0.5000 [2 per cell]
3 Hg 0.5000 0.5000 0.0000 [1 per cell]
4 N 0.0000 0.0000 0.5000 [1 per cell]

Density of states at the Fermi level = 3.681 states/eV/cell
Density = 10.1 g cm⁻³
VASP energy = -27.0 eV/cell
Formation energy (no corrections) = -0.88 eV per atom



VASP calculation (GGA-PBE) on an optimized crystal structure of Sc4BiSe.

Cell lengths 5.1814, 19.1137, 5.8684 Å; angles 90.00, 90.00, 90.00 degrees
Space group Cmcm (No. 63)
One atom of each set of equivalent atoms:
1 Sc 0.0000 0.0589 0.2500 [4 per cell]
2 Sc 0.0000 0.2083 0.0041 [8 per cell]
3 Sc 0.0000 0.3735 0.2500 [4 per cell]
4 Bi 0.0000 0.3543 0.7500 [4 per cell]
5 Se 0.0000 0.0798 0.7500 [4 per cell]

Density of states at the Fermi level = 21.744 states/eV/cell
Density = 5.3 g cm⁻³
VASP energy = -146.5 eV/cell
Formation energy (no corrections) = -0.66 eV per atom



VASP calculation (GGA-PBE) on an optimized crystal structure of CdCoSN2.

Cell lengths 3.6418, 3.6418, 5.2368 Å; angles 90.00, 90.00, 90.00 degrees
Space group P4/mmm (No. 123)
One atom of each set of equivalent atoms:
1 Cd 0.0000 0.0000 0.0000 [1 per cell]
2 Co 0.5000 0.5000 0.5000 [1 per cell]
3 S 0.5000 0.5000 0.0000 [1 per cell]
4 N 0.0000 0.5000 0.5000 [2 per cell]

Density of states at the Fermi level = 3.246 states/eV/cell
Density = 5.5 g cm⁻³
Relative energy among the computed polymorphs = 0.0 meV/atom
VASP energy = -24.6 eV/cell
Formation energy (no corrections) = 0.83 eV per atom



> Which formula does entry 12 have?

CdCoSN2